VASP calculation (PBE with a Hubbard U) on a geometry-optimized Ca2VAgF8 structure.

## Properties
The calculation puts the total energy at -5.5188 eV per atom. The total magnetization is 1.96 μB/f.u. The calculation puts the calculated density at 3.46 g/cm3.

a = 5.0335 Å, b = 7.2942 Å, c = 5.1057 Å
α = 90.00°, β = 90.99°, γ = 90.00°
Fractional positions:
Ca: 0.0000 0.2477 0.0000
Ca: 0.0000 0.7523 0.0000
V: 0.5000 0.0000 0.5000
Ag: 0.5000 0.5000 0.5000
F: 0.1896 0.5000 0.1782
F: 0.2178 0.0000 0.2122
F: 0.3051 0.1933 0.6861
F: 0.3051 0.8067 0.6861
F: 0.6949 0.1933 0.3139
F: 0.6949 0.8067 0.3139
F: 0.7822 0.0000 0.7878
F: 0.8104 0.5000 0.8218